# 1
Crystalline HgTePd4 at its relaxed geometry, computed with GGA-PBE.

Properties
**Magnetic moment**: 0.000 μB/atom
**DFT total energy**: -4.216 eV/atom
**Formation energy (no corrections)**: -180 meV per atom
**N(E_F)**: 0.371 states/eV/atom

Lattice parameters (Å, degrees): 6.724 3.924 16.700 90.00 90.00 90.00
Space group Pnma (No. 62)
Inequivalent atoms, fractional coordinates:
Hg (0.202, 0.250, 0.208)
Te (0.211, 0.750, 0.455)
Pd (0.019, 0.750, 0.936)
Pd (0.074, 0.250, 0.363)
Pd (0.108, 0.250, 0.807)
Pd (0.208, 0.250, 0.583)

***

# 2
Crystalline HgTe2Pd2 at its relaxed geometry, computed with GGA-PBE.

Properties
**Magnetic moment**: 0.000 μB/atom
**DFT total energy**: -3.555 eV/atom
**Formation energy (no corrections)**: -161 meV per atom
**N(E_F)**: 0.183 states/eV/atom

Lattice parameters (Å, degrees): 8.900 9.903 6.451 90.00 115.49 90.00
Space group C2/c (No. 15)
Inequivalent atoms, fractional coordinates:
Hg (0.000, 0.106, 0.250)
Te (0.174, 0.392, 0.010)
Pd (0.000, 0.182, 0.750)
Pd (0.000, 0.381, 0.250)

***

# 3
Crystalline HgTePd at its relaxed geometry, computed with GGA-PBE.

Properties
**Magnetic moment**: 0.000 μB/atom
**DFT total energy**: -3.029 eV/atom
**Formation energy (no corrections)**: -150 meV per atom
**N(E_F)**: 0.582 states/eV/atom

Lattice parameters (Å, degrees): 6.596 6.596 6.596 90.00 90.00 90.00
Space group F-43m (No. 216)
Inequivalent atoms, fractional coordinates:
Hg (0.000, 0.000, 0.000)
Te (0.000, 0.000, 0.500)
Pd (0.250, 0.250, 0.250)

***

# 4
Crystalline Hg5TePd6 at its relaxed geometry, computed with GGA-PBE.

Properties
**Magnetic moment**: 0.000 μB/atom
**DFT total energy**: -3.133 eV/atom
**Formation energy (no corrections)**: -149 meV per atom
**N(E_F)**: 0.466 states/eV/atom

Lattice parameters (Å, degrees): 4.688 6.718 7.407 90.00 108.14 90.00
Space group P2/m (No. 10)
Inequivalent atoms, fractional coordinates:
Hg (0.000, 0.000, 0.000)
Hg (0.326, 0.500, 0.654)
Hg (0.331, 0.000, 0.665)
Te (0.000, 0.500, 0.000)
Pd (0.165, 0.249, 0.326)
Pd (0.500, 0.259, 0.000)

***

# 5
Crystalline HgTe2Pd8 at its relaxed geometry, computed with GGA-PBE.

Properties
**Magnetic moment**: 0.000 μB/atom
**DFT total energy**: -4.617 eV/atom
**Formation energy (no corrections)**: -242 meV per atom
**N(E_F)**: 0.494 states/eV/atom

Lattice parameters (Å, degrees): 15.146 4.169 6.451 90.00 109.40 90.00
Space group C2/m (No. 12)
Inequivalent atoms, fractional coordinates:
Hg (0.000, 0.000, 0.000)
Te (0.197, 0.500, 0.662)
Pd (0.037, 0.500, 0.738)
Pd (0.087, 0.000, 0.460)
Pd (0.145, 0.500, 0.207)
Pd (0.179, 0.000, 0.930)

***

# 6
Crystalline HgTe2Pd at its relaxed geometry, computed with GGA-PBE.

Properties
**Magnetic moment**: 0.000 μB/atom
**DFT total energy**: -2.683 eV/atom
**Formation energy (no corrections)**: 261 meV per atom
**N(E_F)**: 1.435 states/eV/atom

Lattice parameters (Å, degrees): 7.240 7.240 7.240 90.00 90.00 90.00
Space group Fm-3m (No. 225)
Inequivalent atoms, fractional coordinates:
Hg (0.000, 0.000, 0.000)
Te (0.250, 0.250, 0.250)
Pd (0.000, 0.000, 0.500)